No. 1
Below is a relaxed Pr5DyTl2 crystal, with properties calculated at the PBE level. Values from VASP.

Output
The calculation puts the energy relative to the elements at -0.075 eV/atom. As for the space group: P6_3/mmc.

Quantum ESPRESSO input file:
```
&SYSTEM
  ibrav = 0, nat = 16, ntyp = 3
/
ATOMIC_SPECIES
Pr 140.91 Pr.upf
Dy 162.50 Dy.upf
Tl 204.38 Tl.upf
CELL_PARAMETERS angstrom
-1.621 3.034 -4.443
-3.414 -0.541 4.429
8.260 16.732 8.413
ATOMIC_POSITIONS crystal
Pr 0.000 0.000 0.339
Pr 0.000 0.000 0.161
Pr 0.667 0.333 0.250
Pr 0.000 0.000 0.839
Pr 0.667 0.333 0.062
Pr 0.333 0.667 0.750
Pr 0.333 0.667 0.938
Pr 0.333 0.667 0.562
Pr 0.667 0.333 0.438
Pr 0.000 0.000 0.661
Dy 0.333 0.667 0.250
Dy 0.667 0.333 0.750
Tl 0.667 0.333 0.597
Tl 0.333 0.667 0.097
Tl 0.333 0.667 0.403
Tl 0.667 0.333 0.903
```


No. 2
Below is a relaxed MgAu crystal, with properties calculated at the PBE level. Values from VASP.

Output
The calculation puts the energy relative to the elements at -0.522 eV/atom. As for the space group: Pbcm.

Quantum ESPRESSO input file:
```
&SYSTEM
  ibrav = 0, nat = 24, ntyp = 2
/
ATOMIC_SPECIES
Au 196.97 Au.upf
Mg 24.30 Mg.upf
CELL_PARAMETERS angstrom
9.497 0.000 0.000
0.000 8.246 0.000
0.000 0.000 5.718
ATOMIC_POSITIONS crystal
Au 0.147 0.882 0.250
Au 0.853 0.118 0.750
Au 0.853 0.382 0.250
Au 0.147 0.618 0.750
Au 0.412 0.448 0.250
Au 0.588 0.552 0.750
Au 0.588 0.948 0.250
Au 0.412 0.052 0.750
Au 0.102 0.250 0.000
Au 0.898 0.750 0.500
Au 0.898 0.750 0.000
Au 0.102 0.250 0.500
Mg 0.120 0.548 0.250
Mg 0.880 0.452 0.750
Mg 0.880 0.048 0.250
Mg 0.120 0.952 0.750
Mg 0.338 0.123 0.250
Mg 0.662 0.877 0.750
Mg 0.662 0.623 0.250
Mg 0.338 0.377 0.750
Mg 0.620 0.250 0.000
Mg 0.380 0.750 0.500
Mg 0.380 0.750 0.000
Mg 0.620 0.250 0.500
```


No. 3
Below is a relaxed Ca2CdBi crystal, with properties calculated at the PBE level. Values from VASP.

Output
The calculation puts the energy relative to the elements at -0.608 eV/atom. The value obtained for the distance to the lowest polymorph of the same formula is 0.000 eV/atom. As for the space group: P4/mmm.

Quantum ESPRESSO input file:
```
&SYSTEM
  ibrav = 0, nat = 4, ntyp = 3
/
ATOMIC_SPECIES
Ca 40.08 Ca.upf
Bi 208.98 Bi.upf
Cd 112.41 Cd.upf
CELL_PARAMETERS angstrom
4.362 0.000 0.000
0.000 5.219 0.000
0.000 0.000 5.219
ATOMIC_POSITIONS crystal
Ca 0.000 0.000 0.500
Ca 0.000 0.500 0.000
Bi 0.500 0.500 0.500
Cd 0.500 0.000 0.000
```


No. 4
Below is a relaxed MnReP2 crystal, with properties calculated at the PBE level. Values from VASP.

Output
The calculation puts the energy relative to the elements at 0.090 eV/atom. The value obtained for the distance to the lowest polymorph of the same formula is 0.354 eV/atom. As for the space group: Pmmm.

Quantum ESPRESSO input file:
```
&SYSTEM
  ibrav = 0, nat = 4, ntyp = 3
/
ATOMIC_SPECIES
Mn 54.94 Mn.upf
P 30.97 P.upf
Re 186.21 Re.upf
CELL_PARAMETERS angstrom
-3.336 -2.126 -0.599
1.032 -2.200 2.060
-2.097 2.303 3.504
ATOMIC_POSITIONS crystal
Mn 0.500 0.750 0.750
P 0.000 0.249 0.978
P 0.000 0.251 0.522
Re 0.500 0.250 0.250
```


No. 5
Below is a relaxed KIn4Hg2Pb crystal, with properties calculated at the PBE level. Values from VASP.

Output
The calculation puts the energy relative to the elements at -0.054 eV/atom. As for the space group: P4/mmm.

Quantum ESPRESSO input file:
```
&SYSTEM
  ibrav = 0, nat = 8, ntyp = 4
/
ATOMIC_SPECIES
K 39.10 K.upf
In 114.82 In.upf
Hg 200.59 Hg.upf
Pb 207.20 Pb.upf
CELL_PARAMETERS angstrom
-0.719 -1.763 4.809
3.350 -3.835 -0.905
7.175 5.535 3.101
ATOMIC_POSITIONS crystal
K 0.000 0.000 0.500
In 0.000 0.500 0.190
In 0.500 0.000 0.810
In 0.500 0.000 0.190
In 0.000 0.500 0.810
Hg 0.500 0.500 0.350
Hg 0.500 0.500 0.650
Pb 0.000 0.000 0.000
```


No. 6
Below is a relaxed SrCuRu2 crystal, with properties calculated at the PBE level. Values from VASP.

Output
The calculation puts the energy relative to the elements at 0.674 eV/atom. The value obtained for the distance to the lowest polymorph of the same formula is 0.518 eV/atom. As for the space group: I-42d.

Quantum ESPRESSO input file:
```
&SYSTEM
  ibrav = 0, nat = 8, ntyp = 3
/
ATOMIC_SPECIES
Ru 101.07 Ru.upf
Cu 63.55 Cu.upf
Sr 87.62 Sr.upf
CELL_PARAMETERS angstrom
4.559 0.000 0.000
0.000 4.559 0.000
2.279 2.279 9.003
ATOMIC_POSITIONS crystal
Ru 0.422 0.125 0.250
Ru 0.328 0.625 0.250
Ru 0.375 0.578 0.750
Ru 0.875 0.672 0.750
Cu 0.500 0.500 0.000
Cu 0.250 0.750 0.500
Sr 0.000 0.000 0.000
Sr 0.750 0.250 0.500
```